Entry 1:
A geometry-optimized CePrTeSe2 structure. Source: Alexandria via LeMat-Bulk, functional PBE-GGA.

```
5
Lattice="-0.621 -3.977 -2.406 -1.722 -2.058 3.846 -5.467 5.159 -2.546" Properties=species:S:1:pos:R:3 pbc="T T T"
Pr -6.050 -1.443 -0.622
Ce -1.785 0.576 -0.491
Te -1.178 -3.015 0.718
Se -3.614 -0.923 -2.112
Se -4.164 0.037 1.014
```

Values from the calculation:
The formation energy from raw total energies comes out at -1.392 eV/atom. As for the space-group type: I4mm (107).

***

Entry 2:
A geometry-optimized Ce2Pr2Te2Se3 structure. Source: Alexandria via LeMat-Bulk, functional PBE-GGA.

```
9
Lattice="-2.605 -5.140 -0.550 4.905 -2.263 -2.079 1.096 1.772 8.715" Properties=species:S:1:pos:R:3 pbc="T T T"
Se 3.576 -2.097 2.661
Se -0.179 -3.535 3.426
Se 0.000 0.000 0.000
Pr 2.511 -4.871 3.170
Pr 0.885 -0.761 2.917
Te 1.616 -4.102 0.221
Te 1.780 -1.530 5.866
Ce 2.453 -1.132 -1.039
Ce -1.302 -2.570 -0.275
```

Values from the calculation:
The formation energy from raw total energies comes out at -1.460 eV/atom. As for the space-group type: I4/mmm (139).

***

Entry 3:
A geometry-optimized CePrTeSe structure. Source: Alexandria via LeMat-Bulk, functional PBE-GGA.

```
4
Lattice="-4.520 -1.788 2.236 -0.212 -4.953 2.011 -0.259 -0.729 5.294" Properties=species:S:1:pos:R:3 pbc="T T T"
Se -2.495 -3.735 4.771
Pr -1.248 -1.868 2.385
Ce -3.743 -5.603 7.156
Te 0.000 0.000 0.000
```

Values from the calculation:
The formation energy from raw total energies comes out at -1.406 eV/atom. As for the space-group type: F-43m (216). Its energy above the most stable polymorph in this dataset is 216 meV per atom.

***

Entry 4:
A geometry-optimized Ce4PrTh3Se8 structure. Source: Alexandria via LeMat-Bulk, functional PBE-GGA.

```
16
Lattice="-1.939 0.416 8.163 7.500 -3.312 1.950 -0.416 6.901 -4.772" Properties=species:S:1:pos:R:3 pbc="T T T"
Ce -0.970 0.208 4.081
Ce -0.208 3.450 -2.386
Ce -1.178 3.658 1.695
Ce 0.000 0.000 0.000
Se 3.979 1.282 5.202
Se -0.013 6.384 1.827
Se 1.165 2.723 0.138
Se 0.954 6.176 -2.243
Se 5.158 -2.379 3.514
Se 4.191 -2.172 7.583
Se 0.196 2.924 4.220
Se 4.949 1.081 1.121
Th 2.572 2.002 2.670
Th 2.780 -1.448 5.056
Th 3.542 1.794 -1.411
Pr 3.750 -1.656 0.975
```

Values from the calculation:
The formation energy from raw total energies comes out at -1.724 eV/atom. As for the space-group type: R-3m (166).

***

Entry 5:
A geometry-optimized Ce3PrTh4Se8 structure. Source: Alexandria via LeMat-Bulk, functional PBE-GGA.

```
16
Lattice="-5.104 -6.173 2.376 4.503 -5.501 -4.621 3.860 4.676 5.749" Properties=species:S:1:pos:R:3 pbc="T T T"
Se 1.463 -6.404 1.191
Se 1.796 -0.594 2.314
Se -0.147 -2.933 -0.552
Se -0.766 -3.678 3.489
Se 5.944 -0.995 2.875
Se -2.685 -6.004 0.630
Se 3.405 -4.066 4.057
Se 4.024 -3.321 0.015
Th 1.930 2.338 2.875
Th 0.000 0.000 0.000
Th -0.622 -0.749 4.063
Th -2.552 -3.087 1.188
Ce -0.300 -5.837 -1.122
Ce 4.181 -0.413 0.564
Ce 1.629 -3.499 1.752
Pr 2.251 -2.751 -2.310
```

Values from the calculation:
The formation energy from raw total energies comes out at -1.688 eV/atom. As for the space-group type: R-3m (166).

***

Entry 6:
A geometry-optimized CePrTh2Se4 structure. Source: Alexandria via LeMat-Bulk, functional PBE-GGA.

```
8
Lattice="-2.519 3.215 1.088 -0.269 -2.509 6.788 5.641 4.648 -0.671" Properties=species:S:1:pos:R:3 pbc="T T T"
Th 2.686 1.069 3.058
Th 1.561 3.931 0.209
Se 4.163 2.863 1.180
Se 1.208 -0.725 4.937
Se 2.777 3.212 5.146
Se 0.076 2.141 2.059
Pr -1.394 0.353 3.938
Ce 0.000 0.000 0.000
```

Values from the calculation:
The formation energy from raw total energies comes out at -1.686 eV/atom. As for the space-group type: P2/m (10).

***

Entry 7:
A geometry-optimized CePr4Th3Se8 structure. Source: Alexandria via LeMat-Bulk, functional PBE-GGA.

```
16
Lattice="-4.890 4.730 4.950 -6.922 -3.687 -3.314 6.038 -4.782 3.384" Properties=species:S:1:pos:R:3 pbc="T T T"
Pr -2.445 2.365 2.475
Pr 0.000 0.000 0.000
Pr 3.019 -2.391 1.692
Pr 0.574 -0.026 4.167
Th -5.906 0.522 0.818
Th -0.442 -4.235 0.035
Th -2.887 -1.870 2.510
Se -2.808 -3.981 4.613
Se -5.832 -1.599 2.918
Se -5.416 2.612 2.886
Se -2.391 0.215 4.582
Se -0.358 -6.351 2.133
Se -2.966 0.242 0.406
Se 0.058 -2.140 2.102
Se -3.383 -3.955 0.437
Ce -3.461 -1.843 -1.657
```

Values from the calculation:
The formation energy from raw total energies comes out at -1.724 eV/atom. As for the space-group type: R-3m (166).

***

Entry 8:
A geometry-optimized CePr2Th3Se6 structure. Source: Alexandria via LeMat-Bulk, functional PBE-GGA.

```
12
Lattice="4.223 0.000 0.000 0.000 8.435 0.239 -2.111 -2.495 8.887" Properties=species:S:1:pos:R:3 pbc="T T T"
Se 2.111 -0.126 2.962
Se 2.111 4.112 3.103
Se 2.111 -0.399 8.924
Se 0.000 1.828 6.023
Se 0.000 6.066 6.165
Se 0.000 6.339 0.202
Ce 2.111 0.000 0.000
Th 0.000 6.218 3.182
Th 2.111 4.218 0.120
Th 2.111 -0.277 5.945
Pr 0.000 1.979 3.022
Pr 2.111 3.961 6.105
```

Values from the calculation:
The formation energy from raw total energies comes out at -1.682 eV/atom. As for the space-group type: C2/m (12).

***

no.,final energy (eV for the cell shown)
1,-27.8
2,-51.3
3,-23.0
4,-106.2
5,-107.1
6,-53.0
7,-102.8
8,-78.8